FeHI2O: relaxed, GGA+U.

CIF file:
```
data_FeHI2O
_cell_length_a 6.070
_cell_length_b 6.070
_cell_length_c 2.835
_cell_angle_alpha 90.00
_cell_angle_beta 90.00
_cell_angle_gamma 90.00
_space_group_name_H-M_alt 'P 1'
_space_group_IT_number 1
loop_
_space_group_symop_operation_xyz
'x,y,z'
loop_
_atom_site_label
_atom_site_fract_x
_atom_site_fract_y
_atom_site_fract_z
O1 0.000 0.000 0.500
Fe1 0.500 0.500 0.500
H1 0.000 0.000 0.000
I1 0.000 0.500 0.000
I2 0.500 0.000 0.000
```

Properties
E_tot: -2.8593 eV per atom